No. 1
VASP calculation (GGA-PBE) on an optimized crystal structure of Li2GaF.

```
Li2GaF
1.0
-1.8121 -1.5474 1.6685
1.0518 -2.0450 1.7815
0.3736 3.5690 6.2516
Li Ga F
2 1 1
Direct
0.2773 0.2773 0.1680
0.7227 0.7227 0.8320
0.5000 0.5000 0.5000
0.0000 0.0000 0.0000
```

Theoretical density: 3.317 g/cm3
DOS(E_F): 1.54 states/eV/f.u.
Formation energy from raw total energies: -1495.8 meV/atom
Excess energy over the best structure of this formula in the dataset: 0 meV/atom

=====

No. 2
VASP calculation (GGA-PBE) on an optimized crystal structure of GaSn2Rh.

```
GaSn2Rh
1.0
3.3222 0.0000 0.0000
1.6611 2.8771 0.0000
1.6611 0.9590 9.2605
Rh Sn Ga
1 2 1
Direct
0.5000 0.5000 0.5000
0.0979 0.0979 0.7062
0.9021 0.9021 0.2938
0.0000 0.0000 0.0000
```

Theoretical density: 7.692 g/cm3
DOS(E_F): 2.42 states/eV/f.u.
ΔH_f (0 K): -83 meV per atom

=====

No. 3
VASP calculation (GGA-PBE) on an optimized crystal structure of La4Pm3Nd.

```
La4Pm3Nd
1.0
-2.0823 -0.7333 -2.7028
3.4742 -8.4369 -0.3876
-6.8743 -1.7166 5.7618
La Pm Nd
4 3 1
Direct
0.0000 0.7495 0.7495
0.5000 0.2508 0.7492
0.0000 0.2505 0.2505
0.5000 0.7492 0.2508
0.0000 0.0000 0.5000
0.5000 0.5000 0.5000
0.0000 0.5000 0.0000
0.5000 0.0000 0.0000
```

Theoretical density: 6.539 g/cm3
DOS(E_F): 19.42 states/eV/f.u.
ΔH_f (0 K): 332 meV per atom
Excess energy over the best structure of this formula in the dataset: 134 meV/atom

=====

No. 4
VASP calculation (GGA-PBE) on an optimized crystal structure of Sc4Cd3In2.

```
Sc4Cd3In2
1.0
-0.4653 -4.4155 -2.1563
3.4946 -3.4300 0.6203
-4.6359 -3.3139 7.7865
Sc Cd In
4 3 2
Direct
0.6667 0.6666 0.8809
0.0000 0.0001 0.3273
0.0000 0.9999 0.6727
0.3333 0.3334 0.1191
0.3333 0.3334 0.4561
0.0000 0.0000 0.0000
0.6667 0.6666 0.5439
0.3334 0.3332 0.7941
0.6666 0.6668 0.2059
```

Theoretical density: 6.091 g/cm3
DOS(E_F): 9.16 states/eV/f.u.
ΔH_f (0 K): -287 meV per atom

=====

> theoretical density of number 4 (Sc4Cd3In2)?

6.091 g/cm3

=====

> Which value of theoretical density does entry 3 give?

6.539 g/cm3

=====

What did the fourth record say?
VASP calculation (GGA-PBE) on an optimized crystal structure of Sc4Cd3In2.

```
Sc4Cd3In2
1.0
-0.4653 -4.4155 -2.1563
3.4946 -3.4300 0.6203
-4.6359 -3.3139 7.7865
Sc Cd In
4 3 2
Direct
0.6667 0.6666 0.8809
0.0000 0.0001 0.3273
0.0000 0.9999 0.6727
0.3333 0.3334 0.1191
0.3333 0.3334 0.4561
0.0000 0.0000 0.0000
0.6667 0.6666 0.5439
0.3334 0.3332 0.7941
0.6666 0.6668 0.2059
```

Theoretical density: 6.091 g/cm3
DOS(E_F): 9.16 states/eV/f.u.
ΔH_f (0 K): -287 meV per atom